1.
Here is Tm8Cd2In after structural relaxation from Alexandria. Energies are from PBE.

The value obtained for the magnetization is 0.000 μB/atom. For the density, the calculation gives 8.87 g/cm³. The calculation puts the polymorph energy (0 for the lowest one) at 143.3 meV/atom. The calculation puts the density of states at the Fermi level at 28.25 states/eV/cell. As for the electronic total energy: -3.714 eV per atom.

The structure belongs to space group C2/m (No. 12); the cell edges are 8.736, 14.543 and 5.390 Å and the angles 90.00°, 112.38° and 90.00°. The asymmetric unit holds Tm at (0.000, 0.219, 0.000), Tm at (0.104, 0.500, 0.803), Tm at (0.210, 0.115, 0.613), Cd at (0.000, 0.306, 0.500) and In at (0.000, 0.000, 0.000).

---

2.
Here is Sr3TlSi after structural relaxation from Alexandria. Energies are from PBE.

The value obtained for the magnetization is 0.000 μB/atom. For the density, the calculation gives 3.69 g/cm³. For the formation energy without anion corrections, the calculation gives -122 meV per atom. The calculation puts the polymorph energy (0 for the lowest one) at 0.0 meV/atom. The calculation puts the density of states at the Fermi level at 5.55 states/eV/cell. As for the electronic total energy: -2.689 eV per atom.

The structure belongs to space group Pm-3m (No. 221); the cell edges are 6.062, 6.062 and 6.062 Å and the angles 90.00°, 90.00° and 90.00°. The asymmetric unit holds Sr at (0.000, 0.000, 0.500), Tl at (0.500, 0.500, 0.500) and Si at (0.000, 0.000, 0.000).

---

3.
Here is MnTl3Ge after structural relaxation from Alexandria. Energies are from PBE.

The value obtained for the magnetization is 0.574 μB/atom. For the density, the calculation gives 8.80 g/cm³. The calculation puts the polymorph energy (0 for the lowest one) at 0.0 meV/atom. The calculation puts the density of states at the Fermi level at 3.70 states/eV/cell. As for the electronic total energy: -3.583 eV per atom.

The structure belongs to space group Pm-3m (No. 221); the cell edges are 5.189, 5.189 and 5.189 Å and the angles 90.00°, 90.00° and 90.00°. The asymmetric unit holds Mn at (0.000, 0.000, 0.000), Tl at (0.000, 0.000, 0.500) and Ge at (0.500, 0.500, 0.500).

---

4.
Here is Ni2Pt after structural relaxation from Alexandria. Energies are from PBE.

The value obtained for the magnetization is 0.515 μB/atom. For the density, the calculation gives 13.85 g/cm³. The calculation puts the density of states at the Fermi level at 40.32 states/eV/cell. As for the electronic total energy: -5.859 eV per atom.

The structure belongs to space group Fd-3m (No. 227, origin choice 2); the cell edges are 6.692, 6.692 and 6.692 Å and the angles 90.00°, 90.00° and 90.00°. The asymmetric unit holds Ni at (0.000, 0.000, 0.000) and Pt at (0.125, 0.125, 0.625).

---

5.
Here is KVAs2 after structural relaxation from Alexandria. Energies are from PBE.

The value obtained for the magnetization is 0.735 μB/atom. For the density, the calculation gives 4.84 g/cm³. The calculation puts the polymorph energy (0 for the lowest one) at 554.0 meV/atom. The calculation puts the density of states at the Fermi level at 12.20 states/eV/cell. As for the electronic total energy: -4.604 eV per atom.

The structure belongs to space group Fm-3m (No. 225); the cell edges are 6.907, 6.907 and 6.907 Å and the angles 90.00°, 90.00° and 90.00°. The asymmetric unit holds K at (0.000, 0.000, 0.000), V at (0.000, 0.000, 0.500) and As at (0.250, 0.250, 0.250).

---

6.
Here is LaTbNdEr2 after structural relaxation from Alexandria. Energies are from PBE.

The value obtained for the magnetization is 0.000 μB/atom. For the density, the calculation gives 7.30 g/cm³. The calculation puts the density of states at the Fermi level at 31.66 states/eV/cell. As for the electronic total energy: -4.339 eV per atom.

The structure belongs to space group Cmcm (No. 63); the cell edges are 8.459, 11.568 and 7.220 Å and the angles 90.00°, 90.00° and 90.00°. The asymmetric unit holds La at (0.000, 0.234, 0.250), Tb at (0.000, 0.218, 0.750), Nd at (0.000, 0.500, 0.250) and Er at (0.187, 0.000, 0.000).

---

7.
Here is Nd2HoEr2Sc2 after structural relaxation from Alexandria. Energies are from PBE.

The value obtained for the magnetization is 0.000 μB/atom. For the density, the calculation gives 6.82 g/cm³. The calculation puts the density of states at the Fermi level at 24.10 states/eV/cell. As for the electronic total energy: -5.021 eV per atom.

The structure belongs to space group C2/m (No. 12); the cell edges are 11.386, 3.427 and 11.570 Å and the angles 90.00°, 108.76° and 90.00°. The asymmetric unit holds Nd at (0.172, 0.000, 0.090), Ho at (0.000, 0.500, 0.500), Er at (0.045, 0.000, 0.766) and Sc at (0.229, 0.500, 0.370).

---

8.
Here is NpIn2PbBr8 after structural relaxation from Alexandria. Energies are from PBE.

The value obtained for the magnetization is 0.248 μB/atom. For the density, the calculation gives 4.54 g/cm³. For the formation energy without anion corrections, the calculation gives -960 meV per atom. The calculation puts the density of states at the Fermi level at 5.12 states/eV/cell. As for the electronic total energy: -3.919 eV per atom.

The structure belongs to space group P2/m (No. 10); the cell edges are 7.098, 8.948 and 7.566 Å and the angles 90.00°, 91.88° and 90.00°. The asymmetric unit holds Np at (0.000, 0.000, 0.000), In at (0.500, 0.254, 0.500), Pb at (0.000, 0.500, 0.000), Br at (0.212, 0.000, 0.308), Br at (0.227, 0.230, 0.864) and Br at (0.255, 0.500, 0.327).

---

Question: The lowest density belongs to which entry?
Answer: Sr3TlSi

---

Question: Number 8 is which compound?
Answer: NpIn2PbBr8

---

Question: The highest electronic total energy belongs to which entry?
Answer: Sr3TlSi

---

Question: Look up the density of the seventh one.
Answer: 6.82 g/cm³